Material: SrLiFeF6
Method: DFT, GGA+U
State: relaxed

Cell lengths 5.2283, 5.2283, 5.2150 Å; angles 90.00, 90.00, 120.00 degrees
Space group P312 (No. 149)
Unique sites:
1 Sr 0.0000 0.0000 0.0000 [1 per cell]
2 Li 0.6667 0.3333 0.5000 [1 per cell]
3 Fe 0.3333 0.6667 0.5000 [1 per cell]
4 F 0.0217 0.3762 0.7065 [6 per cell]

Summary:
total energy: -46.2 eV per formula unit
spin magnetization: 0.111 μB/atom

Material: Ca4Al6WO16
Method: DFT, GGA+U
State: relaxed

Cell lengths 26.394, 13.221, 9.436 Å; angles 90.00, 90.00, 90.00 degrees
Space group Aea2 (No. 41)
Unique sites:
1 Ca 0.016 0.233 0.000 [8 per cell]
2 Ca 0.120 0.487 0.460 [8 per cell]
3 Ca 0.138 0.026 0.427 [8 per cell]
4 Ca 0.250 0.238 0.458 [8 per cell]
5 Al 0.000 0.000 0.477 [4 per cell]
6 Al 0.000 0.000 0.962 [4 per cell]
7 Al 0.060 0.134 0.711 [8 per cell]
8 Al 0.063 0.386 0.728 [8 per cell]
9 Al 0.185 0.124 0.708 [8 per cell]
10 Al 0.190 0.374 0.696 [8 per cell]
11 Al 0.244 0.497 0.451 [8 per cell]
12 W 0.136 0.261 0.205 [8 per cell]
13 O 0.017 0.112 0.570 [8 per cell]
14 O 0.033 0.409 0.563 [8 per cell]
15 O 0.046 0.260 0.769 [8 per cell]
16 O 0.047 0.069 0.871 [8 per cell]
17 O 0.054 0.464 0.878 [8 per cell]
18 O 0.088 0.182 0.121 [8 per cell]
19 O 0.106 0.366 0.292 [8 per cell]
20 O 0.122 0.105 0.655 [8 per cell]
21 O 0.126 0.415 0.688 [8 per cell]
22 O 0.170 0.184 0.335 [8 per cell]
23 O 0.179 0.308 0.072 [8 per cell]
24 O 0.195 0.075 0.881 [8 per cell]
25 O 0.208 0.249 0.728 [8 per cell]
26 O 0.209 0.394 0.519 [8 per cell]
27 O 0.212 0.452 0.832 [8 per cell]
28 O 0.220 0.076 0.563 [8 per cell]

Summary:
spin magnetization: 0.000 μB/atom
polymorph energy (0 for the lowest one): 0.00 eV per formula unit